Record 1
DFT (PBE) results for YAgNO after structural relaxation. Values from VASP.

```
&SYSTEM
  ibrav = 0, nat = 8, ntyp = 4
/
ATOMIC_SPECIES
Ag 107.87 Ag.upf
N 14.01 N.upf
O 16.00 O.upf
Y 88.91 Y.upf
ATOMIC_POSITIONS crystal
Ag 0.502 0.750 0.250
Ag 0.498 0.250 0.750
N 0.002 0.750 0.250
N 0.998 0.250 0.750
O 0.500 0.250 0.250
O 0.500 0.750 0.750
Y 0.000 0.250 0.250
Y 0.000 0.750 0.750
CELL_PARAMETERS angstrom
4.541 0.000 0.000
0.000 3.449 3.449
0.000 -3.449 3.449
```

Properties
The calculated volume is 108 Å³ per cell. The size of the total moment comes out at 0.00 μB/atom. For the energy relative to the lowest polymorph listed for this composition, the calculation gives 0.081 eV per atom. Its space group is P4/nmm (129). The calculation puts the density at 7.0 g/cm³. The calculation puts the total energy at -6.707 eV per atom.

---

Record 2
DFT (PBE) results for ZnAgNO after structural relaxation. Values from VASP.

```
&SYSTEM
  ibrav = 0, nat = 16, ntyp = 4
/
ATOMIC_SPECIES
Ag 107.87 Ag.upf
N 14.01 N.upf
O 16.00 O.upf
Zn 65.41 Zn.upf
ATOMIC_POSITIONS crystal
Ag 0.991 0.062 0.097
Ag 0.491 0.438 0.097
Ag 0.991 0.562 0.903
Ag 0.491 0.938 0.903
N 0.602 0.097 0.160
N 0.102 0.403 0.160
N 0.602 0.597 0.840
N 0.102 0.903 0.840
O 0.617 0.605 0.388
O 0.117 0.895 0.388
O 0.617 0.105 0.612
O 0.117 0.395 0.612
Zn 0.993 0.577 0.393
Zn 0.493 0.923 0.393
Zn 0.993 0.077 0.607
Zn 0.493 0.423 0.607
CELL_PARAMETERS angstrom
5.233 0.000 0.000
0.000 5.860 0.000
0.000 0.000 6.930
```

Properties
The calculated volume is 212 Å³ per cell. For the energy relative to the lowest polymorph listed for this composition, the calculation gives 0.010 eV per atom. Its space group is Pca2_1 (29). The calculation puts the density at 6.4 g/cm³. The calculation puts the total energy at -4.101 eV per atom.

---

Record 3
DFT (PBE) results for ZnAgNO after structural relaxation. Values from VASP.

```
&SYSTEM
  ibrav = 0, nat = 8, ntyp = 4
/
ATOMIC_SPECIES
Ag 107.87 Ag.upf
N 14.01 N.upf
O 16.00 O.upf
Zn 65.41 Zn.upf
ATOMIC_POSITIONS crystal
Ag 0.500 0.991 0.173
Ag 0.500 0.491 0.827
N 0.000 0.856 0.362
N 0.000 0.356 0.638
O 0.500 0.397 0.183
O 0.500 0.897 0.817
Zn 0.000 0.509 0.344
Zn 0.000 0.009 0.656
CELL_PARAMETERS angstrom
0.386 3.069 -0.534
-5.508 0.859 0.954
1.149 0.873 5.850
```

Properties
The calculated volume is 107 Å³ per cell. For the energy relative to the lowest polymorph listed for this composition, the calculation gives 0.040 eV per atom. Its space group is Pmc2_1 (26). The calculation puts the density at 6.3 g/cm³. The calculation puts the total energy at -4.072 eV per atom.

---

Record 4
DFT (PBE) results for ZnAgNO after structural relaxation. Values from VASP.

```
&SYSTEM
  ibrav = 0, nat = 16, ntyp = 4
/
ATOMIC_SPECIES
Ag 107.87 Ag.upf
N 14.01 N.upf
O 16.00 O.upf
Zn 65.41 Zn.upf
ATOMIC_POSITIONS crystal
Ag 0.046 0.036 0.368
Ag 0.546 0.464 0.368
Ag 0.046 0.536 0.632
Ag 0.546 0.964 0.632
N 0.589 0.556 0.106
N 0.089 0.944 0.106
N 0.589 0.056 0.894
N 0.089 0.444 0.894
O 0.592 0.029 0.350
O 0.092 0.471 0.350
O 0.592 0.529 0.650
O 0.092 0.971 0.650
Zn 0.975 0.601 0.114
Zn 0.475 0.899 0.114
Zn 0.975 0.101 0.886
Zn 0.475 0.399 0.886
CELL_PARAMETERS angstrom
-0.590 2.849 4.119
0.145 -4.498 3.132
7.427 0.662 0.606
```

Properties
The calculated volume is 207 Å³ per cell. For the energy relative to the lowest polymorph listed for this composition, the calculation gives 0.119 eV per atom. Its space group is Pca2_1 (29). The calculation puts the density at 6.5 g/cm³. The calculation puts the total energy at -3.992 eV per atom.

---

Record 5
DFT (PBE) results for ZnAgNO after structural relaxation. Values from VASP.

```
&SYSTEM
  ibrav = 0, nat = 8, ntyp = 4
/
ATOMIC_SPECIES
Ag 107.87 Ag.upf
N 14.01 N.upf
O 16.00 O.upf
Zn 65.41 Zn.upf
ATOMIC_POSITIONS crystal
Ag 0.000 0.000 0.500
Ag 0.500 0.500 0.500
N 0.500 0.000 0.415
N 0.000 0.500 0.585
O 0.000 0.000 0.000
O 0.500 0.500 0.000
Zn 0.500 0.000 0.069
Zn 0.000 0.500 0.931
CELL_PARAMETERS angstrom
4.122 0.000 0.000
0.000 4.122 0.000
0.000 0.000 6.007
```

Properties
The calculated volume is 102 Å³ per cell. For the energy relative to the lowest polymorph listed for this composition, the calculation gives 0.000 eV per atom. Its space group is P4/nmm (129). The calculation puts the density at 6.6 g/cm³. The calculation puts the total energy at -4.112 eV per atom.

---

Record 6
DFT (PBE) results for ZnAgNO after structural relaxation. Values from VASP.

```
&SYSTEM
  ibrav = 0, nat = 8, ntyp = 4
/
ATOMIC_SPECIES
Ag 107.87 Ag.upf
N 14.01 N.upf
O 16.00 O.upf
Zn 65.41 Zn.upf
ATOMIC_POSITIONS crystal
Ag 0.250 0.250 0.105
Ag 0.750 0.750 0.895
N 0.250 0.250 0.471
N 0.750 0.750 0.529
O 0.750 0.250 0.000
O 0.250 0.750 0.000
Zn 0.750 0.250 0.500
Zn 0.250 0.750 0.500
CELL_PARAMETERS angstrom
-0.674 -0.405 4.010
-0.345 -4.045 -0.466
6.309 -0.653 0.995
```

Properties
The calculated volume is 107 Å³ per cell. For the energy relative to the lowest polymorph listed for this composition, the calculation gives 0.234 eV per atom. Its space group is P4/nmm (129). The calculation puts the density at 6.3 g/cm³. The calculation puts the total energy at -3.878 eV per atom.

---

Record 7
DFT (PBE) results for ZnAgNO after structural relaxation. Values from VASP.

```
&SYSTEM
  ibrav = 0, nat = 8, ntyp = 4
/
ATOMIC_SPECIES
Ag 107.87 Ag.upf
N 14.01 N.upf
O 16.00 O.upf
Zn 65.41 Zn.upf
ATOMIC_POSITIONS crystal
Ag 0.508 0.000 0.388
Ag 0.008 0.000 0.612
N 0.886 0.000 0.284
N 0.386 0.000 0.716
O 0.371 0.500 0.164
O 0.871 0.500 0.836
Zn 0.989 0.500 0.142
Zn 0.489 0.500 0.858
CELL_PARAMETERS angstrom
-1.594 -4.920 0.187
3.155 -0.995 0.725
-1.163 0.600 5.884
```

Properties
The calculated volume is 106 Å³ per cell. For the energy relative to the lowest polymorph listed for this composition, the calculation gives 0.052 eV per atom. Its space group is Pmc2_1 (26). The calculation puts the density at 6.4 g/cm³. The calculation puts the total energy at -4.060 eV per atom.

---

Record 8
DFT (PBE) results for Ag5Pb2N6 after structural relaxation. Values from VASP.

```
&SYSTEM
  ibrav = 0, nat = 13, ntyp = 3
/
ATOMIC_SPECIES
Ag 107.87 Ag.upf
N 14.01 N.upf
Pb 207.20 Pb.upf
ATOMIC_POSITIONS crystal
Ag 0.000 0.000 0.238
Ag 0.500 0.000 0.500
Ag 0.000 0.500 0.500
Ag 0.500 0.500 0.500
Ag 0.000 0.000 0.762
N 0.642 0.000 0.205
N 0.358 0.358 0.205
N 0.000 0.642 0.205
N 0.358 0.000 0.795
N 0.000 0.358 0.795
N 0.642 0.642 0.795
Pb 0.667 0.333 0.000
Pb 0.333 0.667 0.000
CELL_PARAMETERS angstrom
-2.386 -2.146 4.983
-0.262 -3.157 -5.010
5.602 -2.805 1.474
```

Properties
The calculated volume is 196 Å³ per cell. Its space group is P-31m (162). The calculation puts the density at 8.8 g/cm³. The calculation puts the total energy at -4.333 eV per atom.

---

Record 9
DFT (PBE) results for SiAgN2 after structural relaxation. Values from VASP.

```
&SYSTEM
  ibrav = 0, nat = 8, ntyp = 3
/
ATOMIC_SPECIES
Ag 107.87 Ag.upf
N 14.01 N.upf
Si 28.09 Si.upf
ATOMIC_POSITIONS crystal
Ag 0.000 0.000 0.000
Ag 0.750 0.250 0.500
N 0.875 0.467 0.092
N 0.533 0.625 0.408
N 0.217 0.125 0.592
N 0.375 0.783 0.908
Si 0.500 0.500 0.000
Si 0.250 0.750 0.500
CELL_PARAMETERS angstrom
4.215 2.704 -1.659
-1.761 4.936 0.604
-0.013 -3.773 3.686
```

Properties
The calculated volume is 93 Å³ per cell. Its space group is I-42d (122). The calculation puts the density at 5.9 g/cm³. The calculation puts the total energy at -6.302 eV per atom.

---

Record 10
DFT (PBE) results for SrAg4N2 after structural relaxation. Values from VASP.

```
&SYSTEM
  ibrav = 0, nat = 14, ntyp = 3
/
ATOMIC_SPECIES
Ag 107.87 Ag.upf
N 14.01 N.upf
Sr 87.62 Sr.upf
ATOMIC_POSITIONS crystal
Ag 0.096 0.096 0.000
Ag 0.430 0.430 0.000
Ag 0.570 0.570 0.000
Ag 0.904 0.904 0.000
Ag 0.654 0.154 0.500
Ag 0.846 0.346 0.500
Ag 0.180 0.680 0.500
Ag 0.320 0.820 0.500
N 0.197 0.197 0.000
N 0.803 0.803 0.000
N 0.553 0.053 0.500
N 0.947 0.447 0.500
Sr 0.000 0.000 0.000
Sr 0.750 0.250 0.500
CELL_PARAMETERS angstrom
-14.020 5.528 5.188
-14.640 6.285 -0.464
13.209 -8.536 -2.591
```

Properties
The calculated volume is 258 Å³ per cell. For the energy relative to the lowest polymorph listed for this composition, the calculation gives 0.000 eV per atom. Its space group is I4_1/amd (141). The calculation puts the density at 7.0 g/cm³. The calculation puts the total energy at -3.899 eV per atom.

---

Record 11
DFT (PBE) results for SrAg4N2 after structural relaxation. Values from VASP.

```
&SYSTEM
  ibrav = 0, nat = 14, ntyp = 3
/
ATOMIC_SPECIES
Ag 107.87 Ag.upf
N 14.01 N.upf
Sr 87.62 Sr.upf
ATOMIC_POSITIONS crystal
Ag 0.573 0.818 0.245
Ag 0.673 0.427 0.245
Ag 0.177 0.432 0.255
Ag 0.077 0.823 0.255
Ag 0.177 0.923 0.745
Ag 0.568 0.823 0.745
Ag 0.573 0.327 0.755
Ag 0.182 0.427 0.755
N 0.297 0.297 0.000
N 0.703 0.703 0.000
N 0.047 0.547 0.500
N 0.453 0.953 0.500
Sr 0.000 0.000 0.000
Sr 0.750 0.250 0.500
CELL_PARAMETERS angstrom
-3.119 -2.332 7.387
-0.887 5.220 6.458
-1.645 -0.519 -8.171
```

Properties
The calculated volume is 231 Å³ per cell. For the energy relative to the lowest polymorph listed for this composition, the calculation gives 0.170 eV per atom. Its space group is I4_1/amd (141). The calculation puts the density at 7.9 g/cm³. The calculation puts the total energy at -3.729 eV per atom.

---

Record 12
DFT (PBE) results for SrAg2N2 after structural relaxation. Values from VASP.

```
&SYSTEM
  ibrav = 0, nat = 5, ntyp = 3
/
ATOMIC_SPECIES
Ag 107.87 Ag.upf
N 14.01 N.upf
Sr 87.62 Sr.upf
ATOMIC_POSITIONS crystal
Ag 0.667 0.333 0.143
Ag 0.333 0.667 0.857
N 0.333 0.667 0.261
N 0.667 0.333 0.739
Sr 0.000 0.000 0.500
CELL_PARAMETERS angstrom
-2.699 -2.158 1.294
0.311 0.589 -3.629
4.029 -5.354 -0.524
```

Properties
The calculated volume is 79 Å³ per cell. Its space group is P-3m1 (164). The calculation puts the density at 6.9 g/cm³. The calculation puts the total energy at -4.240 eV per atom.